DFT (GGA-PBE) results for an optimized crystal structure of CaRe3Ni.

ΔE_f in eV per atom: 3.402

a = 4.523 Å, b = 4.523 Å, c = 4.523 Å
α = 90.00°, β = 90.00°, γ = 90.00°
Space group Pm-3m (No. 221)
Asymmetric unit:
Ca 0.000 0.000 0.000 (multiplicity 1)
Re 0.000 0.000 0.500 (multiplicity 3)
Ni 0.500 0.500 0.500 (multiplicity 1)